Here is a geometry-optimized Sm3Dy12Tl structure from the Alexandria database. Energies are from GGA-PBE.

Calculated values
* space-group type: P4/mmm (123)
* final energy: -72.12 eV/cell

Structure (POSCAR):
```
Sm3Dy12Tl
1.0
4.969 0.000 0.000
0.000 4.969 0.000
0.000 0.000 20.223
Sm Dy Tl
3 12 1
Direct
0.000 0.000 0.249 Sm
0.000 0.000 0.500 Sm
0.000 0.000 0.751 Sm
0.500 0.500 0.000 Dy
0.500 0.500 0.244 Dy
0.500 0.500 0.500 Dy
0.500 0.500 0.756 Dy
0.500 0.000 0.121 Dy
0.500 0.000 0.373 Dy
0.500 0.000 0.627 Dy
0.500 0.000 0.879 Dy
0.000 0.500 0.121 Dy
0.000 0.500 0.373 Dy
0.000 0.500 0.627 Dy
0.000 0.500 0.879 Dy
0.000 0.000 0.000 Tl
```